KMn4Cu3O12 | PBE with a Hubbard U | optimized geometry

Computed properties:
density of states at the Fermi level: 11.3 states/eV/cell
V: 406.6 Å³ per cell
raw total energy: -124.35 eV/f.u.

a b c (Å): 7.408 7.408 7.408
angles (deg): 90.00 90.00 90.00
Space group Im-3 (No. 204)
Symmetry-distinct sites (fractional):
K 0.000 0.000 0.000 [2 per cell]
Mn 0.250 0.250 0.250 [8 per cell]
Cu 0.000 0.000 0.500 [6 per cell]
O 0.000 0.318 0.177 [24 per cell]